[1]
First-principles (PBE) data for a relaxed structure of YbErPt2, as listed in the Alexandria database.

```
YbErPt2
1.0
-1.473 0.004 4.670
-4.775 -0.222 1.061
-1.882 -4.065 1.976
Er Yb Pt
1 1 2
Direct
0.500 0.500 0.500
0.000 0.000 0.000
0.750 0.750 0.750
0.250 0.250 0.250
```

## Properties
energy relative to the elements = -1.16 eV/atom
space group = Fm-3m, No. 225
electronic total energy = -22.828 eV for the cell shown



[2]
First-principles (PBE) data for a relaxed structure of Er3ZnPt12, as listed in the Alexandria database.

```
Er3ZnPt12
1.0
4.075 0.000 0.000
0.000 4.075 0.000
0.000 0.000 16.120
Pt Er Zn
12 3 1
Direct
0.000 0.500 0.372
0.500 0.000 0.628
0.000 0.500 0.116
0.500 0.500 0.500
0.500 0.000 0.116
0.500 0.000 0.372
0.000 0.500 0.628
0.500 0.500 0.756
0.000 0.500 0.884
0.500 0.500 0.244
0.500 0.500 0.000
0.500 0.000 0.884
0.000 0.000 0.500
0.000 0.000 0.244
0.000 0.000 0.756
0.000 0.000 0.000
```

## Properties
energy relative to the elements = -0.88 eV/atom
space group = P4/mmm, No. 123
electronic total energy = -101.536 eV for the cell shown



[3]
First-principles (PBE) data for a relaxed structure of Er5ZnPt4, as listed in the Alexandria database.

```
Er5ZnPt4
1.0
3.496 0.000 0.000
0.000 3.496 0.000
0.000 0.000 17.177
Er Pt Zn
5 4 1
Direct
0.500 0.500 0.301
0.500 0.500 0.897
0.500 0.500 0.500
0.500 0.500 0.103
0.500 0.500 0.699
0.000 0.000 0.199
0.000 0.000 0.400
0.000 0.000 0.600
0.000 0.000 0.801
0.000 0.000 0.000
```

## Properties
energy relative to the elements = -1.09 eV/atom
space group = P4/mmm, No. 123
electronic total energy = -59.116 eV for the cell shown



[4]
First-principles (PBE) data for a relaxed structure of Er5Zn2Pt, as listed in the Alexandria database.

```
Er5Zn2Pt
1.0
-5.833 1.778 -3.694
1.734 -4.751 -5.025
-1.922 -3.869 8.052
Er Zn Pt
10 4 2
Direct
0.981 0.481 0.306
0.174 0.019 0.694
0.000 0.000 0.000
0.326 0.826 0.306
0.674 0.174 0.694
0.826 0.981 0.306
0.519 0.674 0.694
0.019 0.519 0.694
0.481 0.326 0.306
0.500 0.500 0.000
0.378 0.878 0.000
0.622 0.122 0.000
0.122 0.378 0.000
0.878 0.622 0.000
0.750 0.750 0.500
0.250 0.250 0.500
```

## Properties
energy relative to the elements = -0.50 eV/atom
space group = I4/mcm, No. 140
electronic total energy = -70.855 eV for the cell shown